No. 1
An optimized crystal structure of Tm6SnSb2Te3, computed with PBE.

Output
* space-group type: C2/m, No. 12
* energy relative to the elements, uncorrected: -107.4 kJ/mol of atoms
* N(E_F): 3.9 states/eV/f.u.
* magnetization: 0.00 μB per cell

a = 9.693 Å, b = 9.693 Å, c = 8.663 Å
α = 102.84°, β = 102.84°, γ = 25.87°
Fractional positions:
Tm 0.002 0.002 0.239
Tm 0.331 0.331 0.424
Tm 0.338 0.338 0.912
Tm 0.662 0.662 0.088
Tm 0.669 0.669 0.576
Tm 0.998 0.998 0.761
Sn 0.500 0.500 0.000
Sb 0.167 0.167 0.334
Sb 0.833 0.833 0.666
Te 0.168 0.168 0.833
Te 0.500 0.500 0.500
Te 0.832 0.832 0.167

No. 2
An optimized crystal structure of Tm6Sn2SbTe3, computed with PBE.

Output
* space-group type: C2/m, No. 12
* energy relative to the elements, uncorrected: -101.5 kJ/mol of atoms
* N(E_F): 2.0 states/eV/f.u.
* magnetization: 0.00 μB per cell

a = 9.702 Å, b = 9.702 Å, c = 8.688 Å
α = 102.85°, β = 102.85°, γ = 25.87°
Fractional positions:
Tm 0.005 0.005 0.245
Tm 0.330 0.330 0.426
Tm 0.335 0.335 0.906
Tm 0.665 0.665 0.094
Tm 0.670 0.670 0.574
Tm 0.995 0.995 0.755
Sn 0.167 0.167 0.333
Sn 0.833 0.833 0.667
Sb 0.500 0.500 0.000
Te 0.165 0.165 0.834
Te 0.500 0.500 0.500
Te 0.835 0.835 0.166

No. 3
An optimized crystal structure of VSnSbTe2, computed with PBE.

Output
* E above lowest polymorph: 0 meV per atom
* space-group type: P4/mmm, No. 123
* energy relative to the elements, uncorrected: 23.2 kJ/mol of atoms
* N(E_F): 5.0 states/eV/f.u.
* magnetization: 1.39 μB per cell

a = 5.275 Å, b = 5.275 Å, c = 5.225 Å
α = 90.00°, β = 90.00°, γ = 90.00°
Fractional positions:
V 0.000 0.000 0.000
Sn 0.500 0.500 0.500
Sb 0.000 0.000 0.500
Te 0.000 0.500 0.000
Te 0.500 0.000 0.000

No. 4
An optimized crystal structure of VSnSbTe2, computed with PBE.

Output
* E above lowest polymorph: 1004 meV per atom
* space-group type: P4/mmm, No. 123
* energy relative to the elements, uncorrected: 120.1 kJ/mol of atoms
* N(E_F): 9.9 states/eV/f.u.
* magnetization: 0.22 μB per cell

a = 5.633 Å, b = 5.633 Å, c = 5.567 Å
α = 90.00°, β = 90.00°, γ = 90.00°
Fractional positions:
V 0.000 0.000 0.000
Sn 0.500 0.500 0.500
Sb 0.500 0.500 0.000
Te 0.000 0.500 0.500
Te 0.500 0.000 0.500

No. 5
An optimized crystal structure of SnSbTe2W, computed with PBE.

Output
* E above lowest polymorph: 1247 meV per atom
* space-group type: P4/mmm, No. 123
* energy relative to the elements, uncorrected: 180.6 kJ/mol of atoms
* N(E_F): 7.3 states/eV/f.u.
* magnetization: 0.17 μB per cell

a = 5.494 Å, b = 5.494 Å, c = 5.456 Å
α = 90.00°, β = 90.00°, γ = 90.00°
Fractional positions:
Sn 0.000 0.000 0.000
Sb 0.000 0.000 0.500
Te 0.000 0.500 0.000
Te 0.500 0.000 0.000
W 0.500 0.500 0.500

No. 6
An optimized crystal structure of SnSbTe2W, computed with PBE.

Output
* E above lowest polymorph: 0 meV per atom
* space-group type: P4/mmm, No. 123
* energy relative to the elements, uncorrected: 60.3 kJ/mol of atoms
* N(E_F): 5.8 states/eV/f.u.
* magnetization: 0.63 μB per cell

a = 5.347 Å, b = 5.347 Å, c = 5.289 Å
α = 90.00°, β = 90.00°, γ = 90.00°
Fractional positions:
Sn 0.000 0.000 0.000
Sb 0.500 0.500 0.000
Te 0.000 0.500 0.500
Te 0.500 0.000 0.500
W 0.500 0.500 0.500

No. 7
An optimized crystal structure of Y6SnSb2Te3, computed with PBE.

Output
* space-group type: C2/m, No. 12
* energy relative to the elements, uncorrected: -118.3 kJ/mol of atoms
* N(E_F): 4.3 states/eV/f.u.
* magnetization: 0.00 μB per cell

a = 9.825 Å, b = 9.825 Å, c = 8.782 Å
α = 103.01°, β = 103.01°, γ = 25.84°
Fractional positions:
Y 0.002 0.002 0.240
Y 0.331 0.331 0.423
Y 0.338 0.338 0.912
Y 0.662 0.662 0.088
Y 0.669 0.669 0.577
Y 0.998 0.998 0.760
Sn 0.500 0.500 0.000
Sb 0.167 0.167 0.334
Sb 0.833 0.833 0.666
Te 0.168 0.168 0.833
Te 0.500 0.500 0.500
Te 0.832 0.832 0.167

No. 8
An optimized crystal structure of ZnSnSb2Te, computed with PBE.

Output
* E above lowest polymorph: 0 meV per atom
* space-group type: P4/mmm, No. 123
* energy relative to the elements, uncorrected: 39.0 kJ/mol of atoms
* N(E_F): 3.6 states/eV/f.u.
* magnetization: 0.00 μB per cell

a = 5.188 Å, b = 5.188 Å, c = 5.511 Å
α = 90.00°, β = 90.00°, γ = 90.00°
Fractional positions:
Zn 0.000 0.000 0.000
Sn 0.500 0.500 0.500
Sb 0.000 0.500 0.000
Sb 0.500 0.000 0.000
Te 0.000 0.000 0.500